# GGA+U CoPH6NO5, relaxed
# - E_tot: -161.5 eV per cell
data_CoPH6NO5
_cell_length_a 5.556
_cell_length_b 8.660
_cell_length_c 4.720
_cell_angle_alpha 90.00
_cell_angle_beta 90.00
_cell_angle_gamma 90.00
_symmetry_space_group_name_H-M 'P m n 21'
_symmetry_Int_Tables_number 31
loop_
_symmetry_equiv_pos_as_xyz
'x,y,z'
'-x+1/2,-y,z+1/2'
'-x,y,z'
'x+1/2,-y,z+1/2'
loop_
_atom_site_label
_atom_site_type_symbol
_atom_site_fract_x
_atom_site_fract_y
_atom_site_fract_z
_atom_site_occupancy
Co1 Co 0.000 0.027 0.000 1
P1 P 0.000 0.804 0.575 1
H1 H 0.000 0.538 0.322 1
H2 H 0.000 0.545 0.954 1
H3 H 0.141 0.194 0.572 1
H4 H 0.154 0.406 0.129 1
N1 N 0.000 0.473 0.134 1
O1 O 0.000 0.209 0.697 1
O2 O 0.000 0.628 0.633 1
O3 O 0.000 0.832 0.256 1
O4 O 0.223 0.880 0.726 1